(1)
# Co2TcPb, optimized geometry, DFT PBE
data_Co2TcPb
_cell_length_a 4.406
_cell_length_b 4.406
_cell_length_c 4.406
_cell_angle_alpha 60.00
_cell_angle_beta 60.00
_cell_angle_gamma 60.00
_symmetry_space_group_name_H-M 'P 1'
_symmetry_Int_Tables_number 1
loop_
_symmetry_equiv_pos_as_xyz
'x,y,z'
loop_
_atom_site_label
_atom_site_type_symbol
_atom_site_fract_x
_atom_site_fract_y
_atom_site_fract_z
_atom_site_occupancy
Co1 Co 0.000 0.000 0.000 1
Co2 Co 0.250 0.250 0.250 1
Pb1 Pb 0.500 0.500 0.500 1
Tc1 Tc 0.750 0.750 0.750 1
# Final energy (eV per atom): -6.46
# Calculated formation energy (eV/atom): 0.61
# Fermi-level density of states (states/eV/f.u.): 7.501

(2)
# Ta3CdRh, optimized geometry, DFT PBE
data_Ta3CdRh
_cell_length_a 4.892
_cell_length_b 4.892
_cell_length_c 4.892
_cell_angle_alpha 90.00
_cell_angle_beta 90.00
_cell_angle_gamma 90.00
_symmetry_space_group_name_H-M 'P 1'
_symmetry_Int_Tables_number 1
loop_
_symmetry_equiv_pos_as_xyz
'x,y,z'
loop_
_atom_site_label
_atom_site_type_symbol
_atom_site_fract_x
_atom_site_fract_y
_atom_site_fract_z
_atom_site_occupancy
Rh1 Rh 0.500 0.500 0.500 1
Cd1 Cd 0.000 0.000 0.000 1
Ta1 Ta 0.000 0.500 0.000 1
Ta2 Ta 0.500 0.000 0.000 1
Ta3 Ta 0.000 0.000 0.500 1
# Final energy (eV per atom): -6.38
# ΔE to the lowest computed polymorph (eV/atom): 1.353
# Calculated formation energy (eV/atom): 2.38
# Fermi-level density of states (states/eV/f.u.): 9.664

(3)
# K2YRh, optimized geometry, DFT PBE
data_K2YRh
_cell_length_a 10.987
_cell_length_b 10.987
_cell_length_c 4.108
_cell_angle_alpha 79.28
_cell_angle_beta 79.28
_cell_angle_gamma 19.21
_symmetry_space_group_name_H-M 'P 1'
_symmetry_Int_Tables_number 1
loop_
_symmetry_equiv_pos_as_xyz
'x,y,z'
loop_
_atom_site_label
_atom_site_type_symbol
_atom_site_fract_x
_atom_site_fract_y
_atom_site_fract_z
_atom_site_occupancy
Rh1 Rh 0.750 0.750 0.750 1
K1 K 0.404 0.404 0.598 1
K2 K 0.096 0.096 0.902 1
Y1 Y 0.250 0.250 0.250 1
# Final energy (eV per atom): -4.04
# ΔE to the lowest computed polymorph (eV/atom): 0.016
# Calculated formation energy (eV/atom): -0.04
# Fermi-level density of states (states/eV/f.u.): 2.223

(4)
# BeGa, optimized geometry, DFT PBE
data_BeGa
_cell_length_a 7.942
_cell_length_b 7.942
_cell_length_c 4.594
_cell_angle_alpha 90.00
_cell_angle_beta 90.00
_cell_angle_gamma 90.00
_symmetry_space_group_name_H-M 'P 1'
_symmetry_Int_Tables_number 1
loop_
_symmetry_equiv_pos_as_xyz
'x,y,z'
loop_
_atom_site_label
_atom_site_type_symbol
_atom_site_fract_x
_atom_site_fract_y
_atom_site_fract_z
_atom_site_occupancy
Be1 Be 0.186 0.686 0.500 1
Be2 Be 0.686 0.186 0.000 1
Be3 Be 0.314 0.814 0.000 1
Be4 Be 0.186 0.314 0.000 1
Be5 Be 0.314 0.186 0.500 1
Be6 Be 0.686 0.814 0.500 1
Be7 Be 0.814 0.686 0.000 1
Be8 Be 0.814 0.314 0.500 1
Ga1 Ga 0.115 0.385 0.500 1
Ga2 Ga 0.615 0.115 0.500 1
Ga3 Ga 0.385 0.115 0.000 1
Ga4 Ga 0.885 0.615 0.500 1
Ga5 Ga 0.115 0.615 0.000 1
Ga6 Ga 0.385 0.885 0.500 1
Ga7 Ga 0.885 0.385 0.000 1
Ga8 Ga 0.615 0.885 0.000 1
# Final energy (eV per atom): -2.88
# ΔE to the lowest computed polymorph (eV/atom): 0.339
# Calculated formation energy (eV/atom): 0.50
# Fermi-level density of states (states/eV/f.u.): 0.863

(5)
# Na2LiPa2Se6, optimized geometry, DFT PBE
data_Na2LiPa2Se6
_cell_length_a 7.212
_cell_length_b 7.212
_cell_length_c 7.350
_cell_angle_alpha 98.86
_cell_angle_beta 98.86
_cell_angle_gamma 120.87
_symmetry_space_group_name_H-M 'P 1'
_symmetry_Int_Tables_number 1
loop_
_symmetry_equiv_pos_as_xyz
'x,y,z'
loop_
_atom_site_label
_atom_site_type_symbol
_atom_site_fract_x
_atom_site_fract_y
_atom_site_fract_z
_atom_site_occupancy
Se1 Se 0.420 0.069 0.724 1
Se2 Se 0.069 0.420 0.724 1
Se3 Se 0.266 0.266 0.280 1
Se4 Se 0.931 0.580 0.276 1
Se5 Se 0.734 0.734 0.720 1
Se6 Se 0.580 0.931 0.276 1
Pa1 Pa 0.335 0.665 0.500 1
Pa2 Pa 0.665 0.335 0.500 1
Na1 Na 0.838 0.162 0.000 1
Na2 Na 0.162 0.838 0.000 1
Li1 Li 0.000 0.000 0.500 1
# Final energy (eV per atom): -5.37
# Fermi-level density of states (states/eV/f.u.): 8.307

(6)
# PuTaGe, optimized geometry, DFT PBE
data_PuTaGe
_cell_length_a 3.536
_cell_length_b 4.545
_cell_length_c 4.545
_cell_angle_alpha 120.00
_cell_angle_beta 90.00
_cell_angle_gamma 90.00
_symmetry_space_group_name_H-M 'P 1'
_symmetry_Int_Tables_number 1
loop_
_symmetry_equiv_pos_as_xyz
'x,y,z'
loop_
_atom_site_label
_atom_site_type_symbol
_atom_site_fract_x
_atom_site_fract_y
_atom_site_fract_z
_atom_site_occupancy
Ge1 Ge 0.167 0.000 0.000 1
Pu1 Pu 0.667 0.667 0.333 1
Ta1 Ta 0.167 0.333 0.667 1
# Final energy (eV per atom): -10.20
# Calculated formation energy (eV/atom): 0.07
# Fermi-level density of states (states/eV/f.u.): 6.340

(7)
# Tb3Y2Ir2, optimized geometry, DFT PBE
data_Tb3Y2Ir2
_cell_length_a 3.873
_cell_length_b 6.330
_cell_length_c 8.856
_cell_angle_alpha 114.74
_cell_angle_beta 90.00
_cell_angle_gamma 107.81
_symmetry_space_group_name_H-M 'P 1'
_symmetry_Int_Tables_number 1
loop_
_symmetry_equiv_pos_as_xyz
'x,y,z'
loop_
_atom_site_label
_atom_site_type_symbol
_atom_site_fract_x
_atom_site_fract_y
_atom_site_fract_z
_atom_site_occupancy
Tb1 Tb 0.500 0.000 0.000 1
Tb2 Tb 0.619 0.237 0.431 1
Tb3 Tb 0.381 0.763 0.569 1
Y1 Y 0.167 0.334 0.808 1
Y2 Y 0.833 0.666 0.192 1
Ir1 Ir 0.823 0.646 0.763 1
Ir2 Ir 0.177 0.354 0.237 1
# Final energy (eV per atom): -6.98
# Calculated formation energy (eV/atom): -0.61
# Fermi-level density of states (states/eV/f.u.): 6.058

(8)
# Sr3Li2Ge3, optimized geometry, DFT PBE
data_Sr3Li2Ge3
_cell_length_a 4.811
_cell_length_b 5.894
_cell_length_c 15.929
_cell_angle_alpha 90.00
_cell_angle_beta 90.00
_cell_angle_gamma 114.09
_symmetry_space_group_name_H-M 'P 1'
_symmetry_Int_Tables_number 1
loop_
_symmetry_equiv_pos_as_xyz
'x,y,z'
loop_
_atom_site_label
_atom_site_type_symbol
_atom_site_fract_x
_atom_site_fract_y
_atom_site_fract_z
_atom_site_occupancy
Ge1 Ge 0.700 0.401 0.750 1
Ge2 Ge 0.400 0.801 0.960 1
Ge3 Ge 0.400 0.801 0.540 1
Ge4 Ge 0.600 0.199 0.040 1
Ge5 Ge 0.600 0.199 0.460 1
Ge6 Ge 0.300 0.599 0.250 1
Li1 Li 0.796 0.593 0.911 1
Li2 Li 0.204 0.407 0.089 1
Li3 Li 0.204 0.407 0.411 1
Li4 Li 0.796 0.593 0.589 1
Sr1 Sr 0.108 0.217 0.610 1
Sr2 Sr 0.892 0.783 0.110 1
Sr3 Sr 0.602 0.204 0.250 1
Sr4 Sr 0.108 0.217 0.890 1
Sr5 Sr 0.892 0.783 0.390 1
Sr6 Sr 0.398 0.796 0.750 1
# Final energy (eV per atom): -3.33
# Calculated formation energy (eV/atom): -0.49
# Fermi-level density of states (states/eV/f.u.): 4.512

Number 5 is which compound? Na2LiPa2Se6

Copy entry 1 word for word.
# Co2TcPb, optimized geometry, DFT PBE
data_Co2TcPb
_cell_length_a 4.406
_cell_length_b 4.406
_cell_length_c 4.406
_cell_angle_alpha 60.00
_cell_angle_beta 60.00
_cell_angle_gamma 60.00
_symmetry_space_group_name_H-M 'P 1'
_symmetry_Int_Tables_number 1
loop_
_symmetry_equiv_pos_as_xyz
'x,y,z'
loop_
_atom_site_label
_atom_site_type_symbol
_atom_site_fract_x
_atom_site_fract_y
_atom_site_fract_z
_atom_site_occupancy
Co1 Co 0.000 0.000 0.000 1
Co2 Co 0.250 0.250 0.250 1
Pb1 Pb 0.500 0.500 0.500 1
Tc1 Tc 0.750 0.750 0.750 1
# Final energy (eV per atom): -6.46
# Calculated formation energy (eV/atom): 0.61
# Fermi-level density of states (states/eV/f.u.): 7.501